Mn2RhBr | GGA-PBE | relaxed

Unit cell a=3.1527 b=3.0735 c=7.1339 alpha=90.00 beta=90.00 gamma=90.00
Closest atoms and distances in Å follow each position.
Space group Pm (No. 6)
Inequivalent atoms, fractional coordinates:
Mn 0.0000 0.0000 0.0000  4 Rh 2.51, 4 Mn 2.69
Mn 0.5000 0.5000 0.2164  2 Br 2.53, 4 Mn 2.69, 1 Rh 2.75
Rh 0.4999 0.5000 0.8309  5 Mn 2.51-2.75
Br 0.4957 0.0000 0.4990  2 Mn 2.53, 2 Rh 2.82

Values from the calculation:
energy above the lowest structure with this stoichiometry	227.2	meV/atom
DFT total energy	-26.3	eV for the cell shown
raw formation energy	0.265	eV/atom

***

ZrInTc2 | GGA-PBE | relaxed

Unit cell a=3.2917 b=4.5392 c=9.4934 alpha=90.00 beta=90.00 gamma=90.00
Closest atoms and distances in Å follow each position.
Space group Imm2 (No. 44)
Inequivalent atoms, fractional coordinates:
Zr 0.0000 0.0000 0.0000  6 Tc 2.82-2.88, 4 In 3.08-3.12
In 0.0000 0.5000 0.2254  6 Tc 2.81-2.92, 4 Zr 3.08-3.12
Tc 0.0000 0.0000 0.4718  2 Tc 2.68, 4 Zr 2.82, 2 In 2.92
Tc 0.0000 0.5000 0.7492  2 Tc 2.68, 4 In 2.81, 2 Zr 2.88

Values from the calculation:
energy above the lowest structure with this stoichiometry	36.2	meV/atom
ΔE_f	-0.072	eV per atom
DFT total energy	-64.6	eV for the cell shown

***

Ρ: 7.03, 9.41 (Mg/m³)